{"formula": "Cd5Sb", "functional": "GGA-PBE", "state": "relaxed", "lattice": [[-0.634, 6.300, 4.941], [-2.525, -5.768, -4.985], [-0.667, -3.592, 4.495]], "species": ["Cd", "Cd", "Cd", "Cd", "Cd", "Sb"], "frac_coords": [[0.012, 0.988, 0.000], [0.344, 0.656, 0.000], [0.678, 0.322, 0.000], [0.430, 0.570, 0.500], [0.772, 0.228, 0.500], [0.098, 0.902, 0.500]], "e_above_lowest_polymorph_ev_per_atom": 0.014, "energy_ev_per_atom": -1.399, "formation_energy_uncorrected_ev_per_atom": 0.05}


{"formula": "CdSb", "functional": "GGA-PBE", "state": "relaxed", "lattice": [[-0.440, 2.322, -2.225], [-4.280, -2.103, -1.349], [-3.819, 4.366, 5.311]], "species": ["Sb", "Sb", "Cd", "Cd"], "frac_coords": [[0.000, 0.000, 0.478], [0.500, 0.500, 0.978], [0.000, 0.500, 0.300], [0.500, 0.000, 0.800]], "e_above_lowest_polymorph_ev_per_atom": 0.047, "energy_ev_per_atom": -2.518, "formation_energy_uncorrected_ev_per_atom": 0.00}


{"formula": "Cd3Sb", "functional": "GGA-PBE", "state": "relaxed", "lattice": [[5.660, 0.000, 0.000], [0.000, 3.234, 0.027], [0.000, -0.733, 5.519]], "species": ["Sb", "Cd", "Cd", "Cd"], "frac_coords": [[0.500, 0.250, 0.250], [0.000, 0.043, 0.989], [0.500, 0.750, 0.750], [0.000, 0.457, 0.511]], "e_above_lowest_polymorph_ev_per_atom": 0.034, "energy_ev_per_atom": -1.636, "formation_energy_uncorrected_ev_per_atom": 0.08}


{"formula": "Cd5Sb", "functional": "GGA-PBE", "state": "relaxed", "lattice": [[-5.923, 1.285, 3.689], [2.609, -4.158, -5.123], [1.310, -3.099, 3.182]], "species": ["Cd", "Cd", "Cd", "Cd", "Cd", "Sb"], "frac_coords": [[0.801, 0.199, 0.500], [0.643, 0.357, 0.000], [0.472, 0.528, 0.500], [0.302, 0.698, 0.000], [0.144, 0.856, 0.500], [0.972, 0.028, 0.000]], "e_above_lowest_polymorph_ev_per_atom": 0.005, "energy_ev_per_atom": -1.408, "formation_energy_uncorrected_ev_per_atom": 0.04}


{"formula": "ScCdSb", "functional": "GGA-PBE", "state": "relaxed", "lattice": [[-3.588, 5.286, -1.034], [-2.088, 3.194, -5.228], [0.806, -5.627, 3.095]], "species": ["Cd", "Sb", "Sc"], "frac_coords": [[0.005, 0.005, 0.000], [0.324, 0.324, 0.000], [0.671, 0.671, 0.000]], "e_above_lowest_polymorph_ev_per_atom": 0.157, "energy_ev_per_atom": -4.034, "formation_energy_uncorrected_ev_per_atom": -0.24}


{"formula": "ScCd2Sb2", "functional": "GGA-PBE", "state": "relaxed", "lattice": [[4.418, 0.000, 0.000], [0.000, 4.418, 0.000], [2.209, 2.209, 7.057]], "species": ["Sc", "Sb", "Sb", "Cd", "Cd"], "frac_coords": [[0.000, 0.000, 0.000], [0.750, 0.250, 0.500], [0.250, 0.750, 0.500], [0.405, 0.405, 0.190], [0.595, 0.595, 0.810]], "e_above_lowest_polymorph_ev_per_atom": 0.362, "energy_ev_per_atom": -3.085, "formation_energy_uncorrected_ev_per_atom": 0.20}


{"formula": "Sc4Cd2Sb", "functional": "GGA-PBE", "state": "relaxed", "lattice": [[-3.121, -2.287, -3.596], [-2.269, -2.881, 3.802], [-7.596, 2.565, 1.081]], "species": ["Sc", "Sc", "Sc", "Sc", "Sb", "Cd", "Cd"], "frac_coords": [[0.805, 0.805, 0.391], [0.195, 0.195, 0.609], [0.000, 0.500, 0.000], [0.500, 0.000, 0.000], [0.000, 0.000, 0.000], [0.608, 0.608, 0.783], [0.392, 0.392, 0.217]], "energy_ev_per_atom": -4.412, "formation_energy_uncorrected_ev_per_atom": 0.06}


{"formula": "Sc2CdSb2", "functional": "GGA-PBE", "state": "relaxed", "lattice": [[-1.281, 7.858, -0.024], [-6.601, -1.063, 4.324], [2.065, 0.346, 3.237]], "species": ["Sc", "Sc", "Sc", "Sc", "Sb", "Sb", "Sb", "Sb", "Cd", "Cd"], "frac_coords": [[0.357, 0.857, 0.000], [0.857, 0.643, 0.000], [0.643, 0.143, 0.000], [0.143, 0.357, 0.000], [0.160, 0.660, 0.500], [0.660, 0.840, 0.500], [0.840, 0.340, 0.500], [0.340, 0.160, 0.500], [0.000, 0.000, 0.000], [0.500, 0.500, 0.000]], "e_above_lowest_polymorph_ev_per_atom": 0.000, "energy_ev_per_atom": -4.939, "formation_energy_uncorrected_ev_per_atom": -0.57}


{"formula": "ScCdSb", "functional": "GGA-PBE", "state": "relaxed", "lattice": [[-2.393, 4.186, -0.741], [-4.747, -0.070, -1.123], [-3.298, 1.533, 3.251]], "species": ["Cd", "Sb", "Sc"], "frac_coords": [[0.500, 0.500, 0.500], [0.750, 0.750, 0.750], [0.000, 0.000, 0.000]], "e_above_lowest_polymorph_ev_per_atom": 0.315, "energy_ev_per_atom": -3.876, "formation_energy_uncorrected_ev_per_atom": -0.09}


{"formula": "ScCd2Sb2", "functional": "GGA-PBE", "state": "relaxed", "lattice": [[-4.148, -3.778, -5.497], [-2.394, -5.199, 5.379], [-3.315, 2.405, 0.849]], "species": ["Sc", "Sc", "Sb", "Sb", "Sb", "Sb", "Cd", "Cd", "Cd", "Cd"], "frac_coords": [[0.000, 0.000, 0.000], [0.500, 0.500, 0.000], [0.334, 0.834, 0.000], [0.834, 0.666, 0.000], [0.666, 0.166, 0.000], [0.166, 0.334, 0.000], [0.141, 0.641, 0.500], [0.641, 0.859, 0.500], [0.859, 0.359, 0.500], [0.359, 0.141, 0.500]], "e_above_lowest_polymorph_ev_per_atom": 0.033, "energy_ev_per_atom": -3.414, "formation_energy_uncorrected_ev_per_atom": -0.13}


{"formula": "Sc2CdSb2", "functional": "GGA-PBE", "state": "relaxed", "lattice": [[-0.546, -0.765, -4.986], [5.043, -0.202, -0.521], [2.114, -6.075, -1.881]], "species": ["Sc", "Sc", "Sb", "Sb", "Cd"], "frac_coords": [[0.750, 0.250, 0.500], [0.250, 0.750, 0.500], [0.369, 0.369, 0.262], [0.631, 0.631, 0.738], [0.000, 0.000, 0.000]], "e_above_lowest_polymorph_ev_per_atom": 0.203, "energy_ev_per_atom": -4.735, "formation_energy_uncorrected_ev_per_atom": -0.37}


{"formula": "ScCdSb3", "functional": "GGA-PBE", "state": "relaxed", "lattice": [[5.446, 0.000, 0.000], [0.000, 5.446, 0.000], [0.000, 0.000, 5.446]], "species": ["Sc", "Sb", "Sb", "Sb", "Cd"], "frac_coords": [[0.500, 0.500, 0.500], [0.000, 0.500, 0.000], [0.000, 0.000, 0.500], [0.500, 0.000, 0.000], [0.000, 0.000, 0.000]], "e_above_lowest_polymorph_ev_per_atom": 0.436, "energy_ev_per_atom": -3.306, "formation_energy_uncorrected_ev_per_atom": 0.62}


{"formula": "Sc2CdSb2", "functional": "GGA-PBE", "state": "relaxed", "lattice": [[7.943, 0.000, 0.000], [0.000, 7.943, 0.000], [0.000, 0.000, 3.829]], "species": ["Sc", "Sc", "Sc", "Sc", "Sb", "Sb", "Sb", "Sb", "Cd", "Cd"], "frac_coords": [[0.149, 0.649, 0.500], [0.649, 0.851, 0.500], [0.851, 0.351, 0.500], [0.351, 0.149, 0.500], [0.348, 0.848, 0.000], [0.848, 0.652, 0.000], [0.652, 0.152, 0.000], [0.152, 0.348, 0.000], [0.000, 0.000, 0.000], [0.500, 0.500, 0.000]], "e_above_lowest_polymorph_ev_per_atom": 0.007, "energy_ev_per_atom": -4.932, "formation_energy_uncorrected_ev_per_atom": -0.57}


{"formula": "ScCdSb", "functional": "GGA-PBE", "state": "relaxed", "lattice": [[5.477, -0.386, 0.343], [4.312, 3.333, 0.745], [1.165, -0.042, 3.740]], "species": ["Cd", "Sb", "Sc"], "frac_coords": [[0.002, 0.002, 0.998], [0.317, 0.317, 0.683], [0.681, 0.681, 0.319]], "e_above_lowest_polymorph_ev_per_atom": 0.110, "energy_ev_per_atom": -4.081, "formation_energy_uncorrected_ev_per_atom": -0.29}


{"formula": "ScCdSb", "functional": "GGA-PBE", "state": "relaxed", "lattice": [[4.512, 0.000, 0.000], [-2.256, 3.908, 0.000], [0.000, 0.000, 4.221]], "species": ["Cd", "Sb", "Sc"], "frac_coords": [[0.000, 0.000, 0.005], [0.667, 0.333, 0.313], [0.333, 0.667, 0.682]], "e_above_lowest_polymorph_ev_per_atom": 0.123, "energy_ev_per_atom": -4.068, "formation_energy_uncorrected_ev_per_atom": -0.28}


{"formula": "ScCd2Sb2", "functional": "GGA-PBE", "state": "relaxed", "lattice": [[-2.923, 2.373, 1.230], [0.730, -1.045, 3.750], [4.549, 7.238, 3.222]], "species": ["Sc", "Sb", "Sb", "Cd", "Cd"], "frac_coords": [[0.000, 0.000, 0.000], [0.417, 0.417, 0.167], [0.583, 0.583, 0.833], [0.750, 0.250, 0.500], [0.250, 0.750, 0.500]], "e_above_lowest_polymorph_ev_per_atom": 0.000, "energy_ev_per_atom": -3.447, "formation_energy_uncorrected_ev_per_atom": -0.17}


{"formula": "ScCdSb", "functional": "GGA-PBE", "state": "relaxed", "lattice": [[-3.683, 3.011, -1.045], [-4.326, -1.810, -1.319], [-3.805, 0.335, 3.023]], "species": ["Cd", "Sb", "Sc"], "frac_coords": [[0.000, 0.000, 0.000], [0.500, 0.500, 0.500], [0.750, 0.750, 0.750]], "e_above_lowest_polymorph_ev_per_atom": 0.088, "energy_ev_per_atom": -4.103, "formation_energy_uncorrected_ev_per_atom": -0.31}


{"formula": "ScCdSb3", "functional": "GGA-PBE", "state": "relaxed", "lattice": [[-1.241, 4.515, 2.842], [-3.311, -2.940, 3.225], [4.184, -0.988, 3.395]], "species": ["Sc", "Sb", "Sb", "Sb", "Cd"], "frac_coords": [[0.000, 0.000, 0.000], [0.000, 0.500, 0.000], [0.000, 0.000, 0.500], [0.500, 0.000, 0.000], [0.500, 0.500, 0.500]], "e_above_lowest_polymorph_ev_per_atom": 0.000, "energy_ev_per_atom": -3.742, "formation_energy_uncorrected_ev_per_atom": 0.18}


{"formula": "ScCdSb", "functional": "GGA-PBE", "state": "relaxed", "lattice": [[-0.835, -0.091, 3.895], [-1.913, -4.544, -2.554], [11.834, 7.777, 2.718]], "species": ["Sb", "Sb", "Cd", "Cd", "Sc", "Sc"], "frac_coords": [[0.865, 0.731, 0.812], [0.135, 0.269, 0.188], [0.780, 0.560, 0.438], [0.220, 0.440, 0.562], [0.785, 0.570, 0.131], [0.215, 0.430, 0.869]], "e_above_lowest_polymorph_ev_per_atom": 0.000, "energy_ev_per_atom": -4.191, "formation_energy_uncorrected_ev_per_atom": -0.40}


{"formula": "ScCd2Sb2", "functional": "GGA-PBE", "state": "relaxed", "lattice": [[-6.953, 3.840, 0.334], [-3.807, -6.949, 0.641], [0.298, 0.199, 3.928]], "species": ["Sc", "Sc", "Sb", "Sb", "Sb", "Sb", "Cd", "Cd", "Cd", "Cd"], "frac_coords": [[0.000, 0.000, 0.000], [0.500, 0.500, 0.000], [0.180, 0.680, 0.500], [0.680, 0.820, 0.500], [0.820, 0.320, 0.500], [0.320, 0.180, 0.500], [0.375, 0.875, 0.000], [0.875, 0.625, 0.000], [0.625, 0.125, 0.000], [0.125, 0.375, 0.000]], "e_above_lowest_polymorph_ev_per_atom": 0.111, "energy_ev_per_atom": -3.336, "formation_energy_uncorrected_ev_per_atom": -0.05}